DFT (GGA+U) results for SrVAgF6 after structural relaxation.

Output
Space group: No. 1
Calculated total energy in eV/atom: -5.371

a = 5.7538 Å, b = 5.7513 Å, c = 4.3639 Å
α = 89.86°, β = 89.92°, γ = 59.96°
With the nearest neighbours (Å) after each atom.
Fractional coordinates of all 9 atoms:
F1 0.2359 0.6759 0.3193  1 V 2.00
F2 0.5660 0.4212 0.7872  1 V 1.98
Sr1 0.9999 0.0003 0.8603  6 F 2.48-2.62
V1 0.3333 0.3333 0.5377  6 F 1.98-2.00
F3 0.0877 0.2356 0.3218  1 V 2.00
Ag1 0.6667 0.6665 0.2750  3 F 2.46
F4 0.4208 0.0135 0.7899  1 V 1.98
F5 0.0137 0.5658 0.7887  1 V 1.98
F6 0.6756 0.0880 0.3202  1 V 2.00